1.
The following is a DFT calculation (GGA-PBEsol) of Mg2PBr after structural relaxation.

The value obtained for the raw formation energy is -157 kJ/mol of formula units. For the spin magnetization, the calculation gives 0.00 Bohr magnetons per cell. The energy above the most stable polymorph in this dataset is 495.5 meV/atom. The calculation puts the total energy at -3.18 eV/atom. As for the crystal system: cubic.

The structure belongs to space group Fm-3m (No. 225); the cell edges are 6.7914, 6.7914 and 6.7914 Å and the angles 90.00°, 90.00° and 90.00°. The distinct sites, in fractional coordinates, are Mg at (0.2500, 0.2500, 0.2500), P at (0.0000, 0.0000, 0.0000) and Br at (0.0000, 0.0000, 0.5000).



2.
The following is a DFT calculation (GGA-PBEsol) of CaTlRu after structural relaxation.

For the spin magnetization, the calculation gives 0.00 Bohr magnetons per cell. For the formation energy, the calculation gives 0.191 eV/atom. The calculation puts the total energy at -4.79 eV/atom. As for the crystal system: tetragonal.

The structure belongs to space group I4mm (No. 107); the cell edges are 3.4725, 3.4725 and 10.3420 Å and the angles 90.00°, 90.00° and 90.00°. The distinct sites, in fractional coordinates, are Ca at (0.0000, 0.0000, 0.0000), Tl at (0.0000, 0.0000, 0.7046) and Ru at (0.0000, 0.0000, 0.3311).



3.
The following is a DFT calculation (GGA-PBEsol) of Si2PtI after structural relaxation.

The value obtained for the raw formation energy is 30 kJ/mol of formula units. For the spin magnetization, the calculation gives 0.00 Bohr magnetons per cell. The calculation puts the total energy at -4.98 eV/atom. As for the crystal system: tetragonal.

The structure belongs to space group I-42d (No. 122); the cell edges are 5.8656, 5.8656 and 12.1486 Å and the angles 90.00°, 90.00° and 90.00°. The distinct sites, in fractional coordinates, are Si at (0.1447, 0.2500, 0.1250), Pt at (0.0000, 0.0000, 0.0000) and I at (0.0000, 0.0000, 0.5000).



4.
The following is a DFT calculation (GGA-PBEsol) of RbTl2CoSn after structural relaxation.

For the spin magnetization, the calculation gives 2.21 Bohr magnetons per cell. For the formation energy, the calculation gives 1.788 eV/atom. The calculation puts the total energy at -1.87 eV/atom. As for the crystal system: tetragonal.

The structure belongs to space group P4/mmm (No. 123); the cell edges are 5.9431, 5.9431 and 6.0296 Å and the angles 90.00°, 90.00° and 90.00°. The distinct sites, in fractional coordinates, are Rb at (0.0000, 0.0000, 0.0000), Tl at (0.0000, 0.5000, 0.0000), Co at (0.5000, 0.5000, 0.5000) and Sn at (0.0000, 0.0000, 0.5000).



5.
The following is a DFT calculation (GGA-PBEsol) of RuC after structural relaxation.

For the spin magnetization, the calculation gives 0.00 Bohr magnetons per cell. The energy above the most stable polymorph in this dataset is 287.7 meV/atom. For the formation energy, the calculation gives 0.838 eV/atom. The calculation puts the total energy at -9.07 eV/atom. As for the crystal system: cubic.

The structure belongs to space group Fm-3m (No. 225); the cell edges are 4.2657, 4.2657 and 4.2657 Å and the angles 90.00°, 90.00° and 90.00°. The distinct sites, in fractional coordinates, are Ru at (0.0000, 0.0000, 0.0000) and C at (0.0000, 0.0000, 0.5000).



6.
The following is a DFT calculation (GGA-PBEsol) of NaOsS2 after structural relaxation.

The value obtained for the raw formation energy is 59 kJ/mol of formula units. For the spin magnetization, the calculation gives 0.00 Bohr magnetons per cell. The calculation puts the total energy at -5.44 eV/atom. As for the crystal system: trigonal.

The structure belongs to space group R-3m (No. 166, hexagonal axes); the cell edges are 2.9169, 2.9169 and 25.8914 Å and the angles 90.00°, 90.00° and 120.00°. The distinct sites, in fractional coordinates, are Na at (0.0000, 0.0000, 0.0000), Os at (0.0000, 0.0000, 0.5000) and S at (0.0000, 0.0000, 0.4147).



7.
The following is a DFT calculation (GGA-PBEsol) of TcTeI2N after structural relaxation.

The value obtained for the raw formation energy is 691 kJ/mol of formula units. For the spin magnetization, the calculation gives 4.27 Bohr magnetons per cell. The calculation puts the total energy at -3.94 eV/atom. As for the crystal system: tetragonal.

The structure belongs to space group P4/mmm (No. 123); the cell edges are 4.9056, 4.9056 and 4.6940 Å and the angles 90.00°, 90.00° and 90.00°. The distinct sites, in fractional coordinates, are Tc at (0.0000, 0.0000, 0.0000), Te at (0.5000, 0.5000, 0.0000), I at (0.0000, 0.5000, 0.5000) and N at (0.5000, 0.5000, 0.5000).



8.
The following is a DFT calculation (GGA-PBEsol) of FePt2Rh after structural relaxation.

For the spin magnetization, the calculation gives 7.33 Bohr magnetons per cell. For the formation energy, the calculation gives -0.083 eV/atom. The calculation puts the total energy at -7.84 eV/atom. As for the crystal system: monoclinic.

The structure belongs to space group Cm (No. 8); the cell edges are 8.9623, 2.6981 and 4.6697 Å and the angles 90.00°, 100.87° and 90.00°. The distinct sites, in fractional coordinates, are Fe at (0.0000, 0.0000, 0.0000), Pt at (0.2540, 0.0000, 0.7597), Pt at (0.4964, 0.0000, 0.4930) and Rh at (0.2417, 0.5000, 0.2478).